# PBE with a Hubbard U FePNO2, relaxed
# * magnetic moment: 4.7 μB/cell
# * final energy: -5.1314 eV per atom
# * Fermi-level density of states: 1.42 states/eV/f.u.
data_FePNO2
_chemical_formula_sum 'Fe1 P1 N1 O2'
_cell_length_a 3.501
_cell_length_b 3.501
_cell_length_c 5.430
_cell_angle_alpha 90.00
_cell_angle_beta 90.00
_cell_angle_gamma 90.00
_symmetry_space_group_name_H-M 'P 4/m m m'
_symmetry_Int_Tables_number 123
_symmetry_space_group_name_Hall '-P 4 2'
loop_
_atom_site_label
_atom_site_type_symbol
_atom_site_fract_x
_atom_site_fract_y
_atom_site_fract_z
Fe1 Fe 0.000 0.000 0.000
P1 P 0.000 0.000 0.500
N1 N 0.500 0.500 0.500
O1 O 0.000 0.500 0.000